First-principles (GGA+U) data for a relaxed CoTeO3 crystal, as listed in Alexandria. Values from VASP.

Cell and atoms, written as Quantum ESPRESSO input:
```
&SYSTEM
  ibrav = 0, nat = 5, ntyp = 3
/
ATOMIC_SPECIES
O 16.00 O.upf
Co 58.93 Co.upf
Te 127.60 Te.upf
CELL_PARAMETERS angstrom
3.7432 0.0000 0.0000
0.0000 3.7432 0.0000
0.0000 0.0000 3.7432
ATOMIC_POSITIONS crystal
O 0.5000 0.0000 0.0000
O 0.0000 0.0000 0.5000
O 0.0000 0.5000 0.0000
Co 0.0000 0.0000 0.0000
Te 0.5000 0.5000 0.5000
```

Calculated values
Symmetry: Pm-3m, No. 221
Energy, eV per cell: -24.9
Density of states at the Fermi level, states/eV per cell: 1.8